This record from Alexandria via LeMat-Bulk describes a relaxed Sc2AlFeH crystal. The functional is PBE-GGA.

Calculated values
E: -6.00 eV/atom
D(E_F): 0.59 states/eV per atom

```
data_Sc2AlFeH
_cell_length_a 4.543
_cell_length_b 4.543
_cell_length_c 3.464
_cell_angle_alpha 90.00
_cell_angle_beta 90.00
_cell_angle_gamma 90.00
_space_group_name_H-M_alt 'P 4/m m m'
_space_group_IT_number 123
_space_group_name_Hall '-P 4 2'
loop_
_atom_site_label
_atom_site_type_symbol
_atom_site_fract_x
_atom_site_fract_y
_atom_site_fract_z
Sc1 Sc 0.000 0.500 0.000
Al1 Al 0.000 0.000 0.500
Fe1 Fe 0.500 0.500 0.500
H1 H 0.500 0.500 0.000
```

This record from Alexandria via LeMat-Bulk describes a relaxed Tb3AgTe2 crystal. The functional is PBE-GGA.

Calculated values
E: -4.78 eV/atom
D(E_F): 0.65 states/eV per atom

```
data_Tb3AgTe2
_cell_length_a 8.716
_cell_length_b 12.263
_cell_length_c 25.874
_cell_angle_alpha 90.00
_cell_angle_beta 90.00
_cell_angle_gamma 90.00
_space_group_name_H-M_alt 'F d d d'
_space_group_IT_number 70
loop_
_space_group_symop_operation_xyz
'x,y,z'
'-x,-y,-z'
'-x+1/4,-y+1/4,z'
'x+1/4,y+1/4,-z'
'x,-y+1/4,-z+1/4'
'-x,y+1/4,z+1/4'
'-x+1/4,y,-z+1/4'
'x+1/4,-y,z+1/4'
'x,y+1/2,z+1/2'
'-x,-y+1/2,-z+1/2'
'-x+1/4,-y+3/4,z+1/2'
'x+1/4,y+3/4,-z+1/2'
'x,-y+3/4,-z+3/4'
'-x,y+3/4,z+3/4'
'-x+1/4,y+1/2,-z+3/4'
'x+1/4,-y+1/2,z+3/4'
'x+1/2,y,z+1/2'
'-x+1/2,-y,-z+1/2'
'-x+3/4,-y+1/4,z+1/2'
'x+3/4,y+1/4,-z+1/2'
'x+1/2,-y+1/4,-z+3/4'
'-x+1/2,y+1/4,z+3/4'
'-x+3/4,y,-z+3/4'
'x+3/4,-y,z+3/4'
'x+1/2,y+1/2,z'
'-x+1/2,-y+1/2,-z'
'-x+3/4,-y+3/4,z'
'x+3/4,y+3/4,-z'
'x+1/2,-y+3/4,-z+1/4'
'-x+1/2,y+3/4,z+1/4'
'-x+3/4,y+1/2,-z+1/4'
'x+3/4,-y+1/2,z+1/4'
loop_
_atom_site_label
_atom_site_type_symbol
_atom_site_fract_x
_atom_site_fract_y
_atom_site_fract_z
Tb1 Tb 0.114 0.375 0.375
Tb2 Tb 0.119 0.371 0.210
Ag1 Ag 0.125 0.125 0.041
Te1 Te 0.125 0.125 0.377
Te2 Te 0.125 0.125 0.544
```

This record from Alexandria via LeMat-Bulk describes a relaxed LaFeTe2N crystal. The functional is PBE-GGA.

Calculated values
E: -4.89 eV/atom
Relative energy among the computed polymorphs: 1105 meV/atom
D(E_F): 1.71 states/eV per atom

```
data_LaFeTe2N
_cell_length_a 6.390
_cell_length_b 6.390
_cell_length_c 3.975
_cell_angle_alpha 90.00
_cell_angle_beta 90.00
_cell_angle_gamma 90.00
_space_group_name_H-M_alt 'P 4/m m m'
_space_group_IT_number 123
_space_group_name_Hall '-P 4 2'
loop_
_atom_site_label
_atom_site_type_symbol
_atom_site_fract_x
_atom_site_fract_y
_atom_site_fract_z
La1 La 0.000 0.000 0.000
Fe1 Fe 0.500 0.500 0.500
Te1 Te 0.000 0.500 0.000
N1 N 0.000 0.000 0.500
```